#w
## Li3Mn3NiO8 (PBE with a Hubbard U)

Data for a relaxed structure of Li3Mn3NiO8.

* total moment: 0.800 μB per atom

Unit cell a=5.8388 b=5.8388 c=9.5315 alpha=90.00 beta=90.00 gamma=120.00
Closest atoms and distances in Å follow each position.
Sites, in units of the cell vectors:
Ni1 0.3333 0.6667 0.5081  6 O 2.07-2.13
O1 0.8432 0.6864 0.8982  2 Mn 1.96, 1 Ni 2.07
O2 0.9682 0.4841 0.1647  2 Mn 1.97, 2 Li 2.03, 1 Ni 2.13
Li1 0.3479 0.1740 0.5559  6 O 2.03-2.25
Mn1 0.6646 0.8323 0.7854  6 O 1.96-2.02
O3 0.0000 0.0000 0.6730  3 Mn 2.01, 3 Li 2.08
O4 0.3333 0.6667 0.9045  3 Mn 2.02, 3 Li 2.16
O5 0.0000 0.0000 0.1730  3 Mn 2.01, 3 Li 2.08
O6 0.0318 0.5159 0.6647  2 Mn 1.97, 2 Li 2.03, 1 Ni 2.13
Mn2 0.1677 0.3354 0.7854  6 O 1.96-2.02
O7 0.8432 0.1568 0.8982  2 Mn 1.96, 1 Ni 2.07
Li2 0.8260 0.1740 0.5559  6 O 2.03-2.25
O8 0.5159 0.0318 0.1647  2 Mn 1.97, 2 Li 2.03, 1 Ni 2.13
O9 0.6864 0.8432 0.3982  2 Mn 1.96, 1 Ni 2.07
O10 0.1568 0.3136 0.3982  2 Mn 1.96, 1 Ni 2.07
Li3 0.1740 0.3479 0.0559  6 O 2.03-2.25
Mn3 0.3354 0.1677 0.2854  6 O 1.96-2.02
Mn4 0.8323 0.1677 0.2854  6 O 1.96-2.02
Mn5 0.8323 0.6646 0.2854  6 O 1.96-2.02
O11 0.1568 0.8432 0.3982  2 Mn 1.96, 1 Ni 2.07
Li4 0.1740 0.8260 0.0559  6 O 2.03-2.25
O12 0.3136 0.1568 0.8982  2 Mn 1.96, 1 Ni 2.07
O13 0.4841 0.9682 0.6647  2 Mn 1.97, 2 Li 2.03, 1 Ni 2.13
Mn6 0.1677 0.8323 0.7854  6 O 1.96-2.02
O14 0.4841 0.5159 0.6647  2 Mn 1.97, 2 Li 2.03, 1 Ni 2.13
Li5 0.8260 0.6521 0.5559  6 O 2.03-2.25
Li6 0.6521 0.8260 0.0559  6 O 2.03-2.25
Ni2 0.6667 0.3333 0.0081  6 O 2.07-2.13
O15 0.5159 0.4841 0.1647  2 Mn 1.97, 2 Li 2.03, 1 Ni 2.13
O16 0.6667 0.3333 0.4045  3 Mn 2.02, 3 Li 2.16



#x
## Li3Mn3NiO8 (PBE with a Hubbard U)

Data for a relaxed structure of Li3Mn3NiO8.

* total moment: 0.800 μB per atom

Unit cell a=5.9617 b=5.9617 c=5.8113 alpha=61.50 beta=61.50 gamma=58.06
Closest atoms and distances in Å follow each position.
Sites, in units of the cell vectors:
O1 0.2865 0.7689 0.7043  2 Mn 1.94-1.95, 1 Ni 2.03, 1 Li 2.18
O2 0.2402 0.2402 0.2820  2 Mn 1.96, 1 Ni 2.10, 2 Li 2.15
O3 0.2410 0.2410 0.7381  2 Mn 1.97, 3 Li 2.11-2.14
Ni1 0.0000 0.0000 0.5000  6 O 2.03-2.10
Mn1 0.0000 0.5000 0.5000  6 O 1.94-1.97
Li1 0.0000 0.0000 0.0000  6 O 2.11-2.18
Li2 0.0000 0.5000 0.0000  4 O 2.14-2.15
O4 0.7598 0.7598 0.7180  2 Mn 1.96, 1 Ni 2.10, 2 Li 2.15
Mn2 0.5000 0.5000 0.5000  4 O 1.95
Mn3 0.5000 0.0000 0.5000  6 O 1.94-1.97
O5 0.7689 0.2865 0.7043  2 Mn 1.94-1.95, 1 Ni 2.03, 1 Li 2.18
O6 0.7590 0.7590 0.2619  2 Mn 1.97, 3 Li 2.11-2.14
O7 0.2311 0.7135 0.2957  2 Mn 1.94-1.95, 1 Ni 2.03, 1 Li 2.18
O8 0.7135 0.2311 0.2957  2 Mn 1.94-1.95, 1 Ni 2.03, 1 Li 2.18
Li3 0.5000 0.0000 0.0000  4 O 2.14-2.15



#y
## Li3Mn3NiO8 (PBE with a Hubbard U)

Data for a relaxed structure of Li3Mn3NiO8.

* total moment: 0.800 μB per atom

Unit cell a=5.7973 b=5.8850 c=5.9485 alpha=119.26 beta=118.81 gamma=90.37
Closest atoms and distances in Å follow each position.
Sites, in units of the cell vectors:
O1 0.7160 0.7412 0.9556  2 Mn 1.97-1.98, 1 Ni 2.06, 2 Li 2.08-2.18
O2 0.2426 0.2759 0.4947  2 Mn 1.94-1.96, 1 Ni 2.14, 1 Li 2.16
Li1 0.0000 0.0000 0.5000  6 O 2.16-2.35
Ni1 0.0000 0.0000 0.0000  6 O 2.06-2.14
O3 0.2381 0.7102 0.4801  2 Mn 1.93-1.96, 1 Li 2.08
O4 0.7574 0.7241 0.5053  2 Mn 1.94-1.96, 1 Ni 2.14, 1 Li 2.16
Mn1 0.5000 0.0000 0.0000  4 O 1.96-1.98
Li2 0.5000 0.5000 0.0000  6 O 2.08-2.19
O5 0.2840 0.2589 0.0444  2 Mn 1.97-1.98, 1 Ni 2.06, 2 Li 2.08-2.18
O6 0.7651 0.2597 0.0534  2 Mn 1.93-1.96, 1 Ni 2.06, 1 Li 2.11
O7 0.2349 0.7403 0.9466  2 Mn 1.93-1.96, 1 Ni 2.06, 1 Li 2.11
O8 0.7619 0.2898 0.5199  2 Mn 1.93-1.96, 1 Li 2.08
Mn2 0.5000 0.5000 0.5000  6 O 1.96-1.97
Mn3 0.0000 0.5000 0.5000  6 O 1.93-1.94
Li3 0.0000 0.5000 0.0000  6 O 2.08-2.19



What should be chosen as the most stable of them? Choose #y.



#w
## Li3MnNi2O6 (PBE with a Hubbard U)

Data for a relaxed structure of Li3MnNi2O6.

* total moment: 0.500 μB per atom

Unit cell a=5.1033 b=5.1033 c=9.9813 alpha=82.99 beta=82.99 gamma=58.91
Closest atoms and distances in Å follow each position.
Sites, in units of the cell vectors:
O1 0.4859 0.6708 0.1121  1 Mn 1.93, 2 Li 1.99-2.06, 2 Ni 2.04-2.08
Ni1 0.6643 0.1708 0.5002  6 O 2.02-2.09
O2 0.8319 0.6940 0.8899  1 Mn 1.94, 2 Li 2.00-2.07, 2 Ni 2.02-2.09
O3 0.9879 0.8011 0.6091  1 Mn 1.96, 2 Ni 2.03-2.05, 2 Li 2.07-2.08
O4 0.6708 0.4859 0.6121  1 Mn 1.93, 2 Li 1.99-2.06, 2 Ni 2.04-2.08
Li1 0.1157 0.8843 0.2500  4 O 2.06-2.08
O5 0.3060 0.1681 0.6101  1 Mn 1.94, 2 Li 2.00-2.07, 2 Ni 2.02-2.09
O6 0.1681 0.3060 0.1101  1 Mn 1.94, 2 Li 2.00-2.07, 2 Ni 2.02-2.09
O7 0.0121 0.1989 0.3909  1 Mn 1.96, 2 Ni 2.03-2.05, 2 Li 2.07-2.08
Mn1 0.0000 0.5000 0.5000  6 O 1.93-1.96
Li2 0.7964 0.5505 0.2445  4 O 1.99-2.07
Li3 0.8843 0.1157 0.7500  4 O 2.06-2.08
O8 0.6940 0.8319 0.3899  1 Mn 1.94, 2 Li 2.00-2.07, 2 Ni 2.02-2.09
Ni2 0.1708 0.6643 0.0002  6 O 2.02-2.09
O9 0.3292 0.5141 0.3879  1 Mn 1.93, 2 Li 1.99-2.06, 2 Ni 2.04-2.08
Mn2 0.5000 0.0000 0.0000  6 O 1.93-1.96
O10 0.8011 0.9879 0.1091  1 Mn 1.96, 2 Ni 2.03-2.05, 2 Li 2.07-2.08
O11 0.1989 0.0121 0.8909  1 Mn 1.96, 2 Ni 2.03-2.05, 2 Li 2.07-2.08
Li4 0.4495 0.2036 0.2555  4 O 1.99-2.07
O12 0.5141 0.3292 0.8879  1 Mn 1.93, 2 Li 1.99-2.06, 2 Ni 2.04-2.08
Li5 0.2036 0.4495 0.7555  4 O 1.99-2.07
Ni3 0.3357 0.8292 0.4998  6 O 2.02-2.09
Li6 0.5505 0.7964 0.7445  4 O 1.99-2.07
Ni4 0.8292 0.3357 0.9998  6 O 2.02-2.09



#x
## Li3MnNi2O6 (PBE with a Hubbard U)

Data for a relaxed structure of Li3MnNi2O6.

* total moment: 0.500 μB per atom

Unit cell a=2.8926 b=5.8868 c=6.6131 alpha=102.85 beta=102.63 gamma=90.00
Closest atoms and distances in Å follow each position.
Sites, in units of the cell vectors:
Li1 0.8313 0.1725 0.6625  6 O 2.09-2.22
O1 0.6667 0.5701 0.3333  3 Ni 1.99-2.08, 3 Li 2.09-2.10
O2 0.3333 0.4299 0.6667  3 Ni 1.99-2.08, 3 Li 2.09-2.10
Li2 0.5000 0.5000 0.0000  6 O 2.10-2.19
Ni1 0.8320 0.6618 0.6639  6 O 1.99-2.15
O3 0.0022 0.7795 0.0043  2 Mn 1.95, 1 Li 2.10, 1 Ni 2.15
Mn1 0.5000 0.0000 0.0000  6 O 1.95
O4 0.6547 0.0901 0.3095  1 Mn 1.95, 2 Ni 2.03, 2 Li 2.15
Ni2 0.1680 0.3382 0.3361  6 O 1.99-2.15
O5 0.9978 0.2205 0.9957  2 Mn 1.95, 1 Li 2.10, 1 Ni 2.15
O6 0.3453 0.9099 0.6905  1 Mn 1.95, 2 Ni 2.03, 2 Li 2.15
Li3 0.1687 0.8275 0.3375  6 O 2.09-2.22



What should be chosen as the most stable of them? Choose #x.



#w
## Li7Mn5O12 (PBE with a Hubbard U)

Data for a relaxed structure of Li7Mn5O12.

* total moment: 0.750 μB per atom

Unit cell a=5.0919 b=6.4245 c=7.0339 alpha=84.09 beta=78.71 gamma=83.08
Closest atoms and distances in Å follow each position.
Sites, in units of the cell vectors:
O1 0.3619 0.5598 0.7104  2 Mn 1.95-1.96, 2 Li 2.15-2.18
O2 0.6158 0.7899 0.9179  3 Mn 2.01-2.03, 2 Li 2.11-2.12
Li1 0.2388 0.9199 0.0666  5 O 2.10-2.12
Li2 0.7501 0.4129 0.5826  6 O 2.05-2.24
O3 0.8601 0.3924 0.8771  2 Mn 1.95-1.98, 2 Li 2.11
O4 0.3842 0.2101 0.0821  3 Mn 2.01-2.03, 2 Li 2.11-2.12
Li3 0.0000 0.0000 0.5000  6 O 2.04-2.26
Mn1 0.5002 0.8362 0.6557  6 O 1.89-2.03
Li4 0.7784 0.7493 0.2820  5 O 1.96-2.18
Mn2 0.0044 0.3277 0.1811  5 O 1.93-2.16
Li5 0.2216 0.2507 0.7180  5 O 1.96-2.18
O5 0.6381 0.4402 0.2896  2 Mn 1.95-1.96, 2 Li 2.15-2.18
O6 0.6005 0.1188 0.5987  2 Mn 1.93-1.94, 3 Li 2.06-2.11
O7 0.1355 0.9420 0.7899  2 Mn 1.93-1.99, 3 Li 2.07-2.11
O8 0.8645 0.0580 0.2101  2 Mn 1.93-1.99, 3 Li 2.07-2.11
Mn3 0.4998 0.1638 0.3443  6 O 1.89-2.03
O9 0.1514 0.2843 0.4513  1 Mn 1.89, 3 Li 1.96-2.05
Li6 0.7612 0.0801 0.9334  5 O 2.10-2.12
O10 0.3995 0.8812 0.4013  2 Mn 1.93-1.94, 3 Li 2.06-2.11
O11 0.8486 0.7157 0.5487  1 Mn 1.89, 3 Li 1.96-2.05
Li7 0.2499 0.5871 0.4174  6 O 2.05-2.24
Mn4 0.9956 0.6723 0.8189  5 O 1.93-2.16
Mn5 0.5000 0.5000 0.0000  4 O 1.95-2.01
O12 0.1399 0.6076 0.1229  2 Mn 1.95-1.98, 2 Li 2.11



#x
## Li7Mn5O12 (PBE with a Hubbard U)

Data for a relaxed structure of Li7Mn5O12.

* total moment: 0.500 μB per atom

Unit cell a=2.9620 b=6.4755 c=12.0669 alpha=102.61 beta=94.08 gamma=102.48
Closest atoms and distances in Å follow each position.
Sites, in units of the cell vectors:
Li1 0.6367 0.8140 0.4151  6 O 2.10-2.24
Li2 0.0000 0.5000 0.5000  6 O 2.08-2.13
O1 0.5231 0.5065 0.1122  3 Mn 1.97-2.03, 2 Li 2.09-2.15
O2 0.2408 0.8472 0.7742  3 Mn 2.00-2.02, 2 Li 2.12
Mn1 0.3615 0.1723 0.8311  4 O 1.93-2.01
O3 0.7592 0.1528 0.2258  3 Mn 2.00-2.02, 2 Li 2.12
O4 0.4769 0.4935 0.8878  3 Mn 1.97-2.03, 2 Li 2.09-2.15
O5 0.5514 0.5276 0.6291  1 Mn 1.83, 2 Li 1.97-1.99
Li3 0.0736 0.5026 0.7345  5 O 1.97-2.15
O6 0.4486 0.4724 0.3709  1 Mn 1.83, 2 Li 1.97-1.99
O7 0.8885 0.1580 0.7093  2 Mn 1.93-2.04, 3 Li 2.13-2.15
Mn2 0.0000 0.5000 0.0000  6 O 1.97-2.03
Mn3 0.6385 0.8277 0.1689  4 O 1.93-2.01
O8 0.1755 0.8255 0.0453  2 Mn 1.95-2.00, 3 Li 2.07-2.10
O9 0.8245 0.1745 0.9547  2 Mn 1.95-2.00, 3 Li 2.07-2.10
Li4 0.3614 0.1666 0.0752  5 O 2.07-2.12
O10 0.1115 0.8420 0.2907  2 Mn 1.93-2.04, 3 Li 2.13-2.15
Li5 0.3633 0.1860 0.5849  6 O 2.10-2.24
O11 0.8192 0.1618 0.4441  2 Mn 1.94-1.95, 2 Li 2.08-2.14
Mn4 0.7019 0.8256 0.6589  6 O 1.83-2.04
Li6 0.6386 0.8334 0.9248  5 O 2.07-2.12
O12 0.1808 0.8382 0.5559  2 Mn 1.94-1.95, 2 Li 2.08-2.14
Li7 0.9264 0.4974 0.2655  5 O 1.97-2.15
Mn5 0.2981 0.1744 0.3411  6 O 1.83-2.04



#y
## Li7Mn5O12 (PBE with a Hubbard U)

Data for a relaxed structure of Li7Mn5O12.

* total moment: 0.750 μB per atom

Unit cell a=5.0559 b=5.0559 c=9.9082 alpha=86.87 beta=101.20 gamma=117.63
Closest atoms and distances in Å follow each position.
Sites, in units of the cell vectors:
O1 0.4888 0.6949 0.8830  2 Mn 1.95-1.96, 2 Li 2.14-2.19
Li1 0.9164 0.3245 0.2532  5 O 2.04-2.19
Li2 0.7573 0.0017 0.7469  5 O 2.04-2.18
Li3 0.0836 0.6755 0.7468  5 O 2.04-2.19
O2 0.0498 0.3704 0.6093  2 Mn 1.95-1.98, 3 Li 2.04-2.13
Li4 0.0000 0.0000 0.5000  6 O 2.10-2.20
Li5 0.2427 0.9983 0.2531  5 O 2.04-2.18
Mn1 0.5000 0.0000 0.0000  4 O 1.95-1.98
Mn2 0.3321 0.6679 0.5000  6 O 1.95-1.98
O3 0.9502 0.6296 0.3907  2 Mn 1.95-1.98, 3 Li 2.04-2.13
O4 0.8471 0.9734 0.1207  2 Mn 1.97-1.98, 3 Li 2.12-2.14
Mn3 0.1666 0.3336 0.9991  4 O 1.96-1.97
O5 0.6823 0.6450 0.6119  2 Mn 1.95, 3 Li 2.11-2.15
Li6 0.5836 0.6652 0.2573  6 O 2.11-2.20
Li7 0.4164 0.3348 0.7427  6 O 2.11-2.20
O6 0.8211 0.3600 0.8823  2 Mn 1.96-1.97, 3 Li 2.15-2.19
O7 0.4065 0.0133 0.6093  2 Mn 1.95-1.98, 3 Li 2.04-2.13
O8 0.5935 0.9867 0.3907  2 Mn 1.95-1.98, 3 Li 2.04-2.13
O9 0.3177 0.3550 0.3881  2 Mn 1.95, 3 Li 2.11-2.15
Mn4 0.8334 0.6664 0.0009  4 O 1.96-1.97
O10 0.1529 0.0266 0.8793  2 Mn 1.97-1.98, 3 Li 2.12-2.14
O11 0.1789 0.6400 0.1177  2 Mn 1.96-1.97, 3 Li 2.15-2.19
Mn5 0.6679 0.3321 0.5000  6 O 1.95-1.98
O12 0.5112 0.3051 0.1170  2 Mn 1.95-1.96, 2 Li 2.14-2.19



What should be chosen as the most stable of them? Choose #y.